Here is a relaxed Er2Tm2Ru3 crystal from Alexandria via LeMat-Bulk. Energies are from PBE.

Lattice parameters (Å, degrees): 4.8306 4.8315 7.9383 107.41 90.10 119.93
With the nearest neighbours (Å) after each atom.
Space group P-1 (No. 2)
Symmetry-distinct sites (fractional):
Er  0.1234  0.2471  0.3698 (multiplicity 2)  7 Ru 2.81-2.96
Tm  0.3743  0.7485  0.1217 (multiplicity 2)  5 Ru 2.79-2.96
Ru  0.2486  0.4971  0.7466 (multiplicity 2)  4 Tm 2.79-2.96, 4 Er 2.81-2.93
Ru  0.5000  0.0000  0.5000 (multiplicity 1)  2 Tm 2.82, 6 Er 2.95-2.96

Calculated values
As for the energy relative to the elements: -0.336 eV/atom. For the size of the total moment, the calculation gives 0.0 μB per cell. The calculation puts the density at 10.8 g cm⁻³. The calculated volume is 21.5 Å³/atom.

=====

Here is a relaxed Er3Tm2Ru4 crystal from Alexandria via LeMat-Bulk. Energies are from PBE.

Lattice parameters (Å, degrees): 4.8133 4.8133 9.1251 90.00 90.00 120.00
With the nearest neighbours (Å) after each atom.
Space group P-3m1 (No. 164)
Symmetry-distinct sites (fractional):
Er  0.0000  0.0000  0.0000 (multiplicity 1)  8 Ru 2.94-3.25
Er  0.3333  0.6667  0.4092 (multiplicity 2)  4 Ru 2.76-2.82
Tm  0.3333  0.6667  0.7953 (multiplicity 2)  7 Ru 2.84-3.10
Ru  0.0000  0.0000  0.3559 (multiplicity 2)  1 Ru 2.63, 3 Er 2.82
Ru  0.3333  0.6667  0.1063 (multiplicity 2)  4 Er 2.76-2.94, 4 Tm 2.84-2.92

Calculated values
As for the energy relative to the elements: -0.403 eV/atom. For the size of the total moment, the calculation gives 0.0 μB per cell. The calculation puts the density at 11.3 g cm⁻³. The calculated volume is 20.3 Å³/atom.

=====

Here is a relaxed Er2TmRu2 crystal from Alexandria via LeMat-Bulk. Energies are from PBE.

Lattice parameters (Å, degrees): 3.3719 20.0804 3.3488 90.00 90.00 90.00
With the nearest neighbours (Å) after each atom.
Space group Cmmm (No. 65)
Symmetry-distinct sites (fractional):
Er  0.0000  0.1651  0.0000 (multiplicity 4)  4 Ru 2.84
Tm  0.0000  0.0000  0.0000 (multiplicity 2)  8 Ru 2.96
Ru  0.0000  0.4123  0.5000 (multiplicity 4)  4 Er 2.84, 4 Tm 2.96

Calculated values
As for the energy relative to the elements: -0.386 eV/atom. For the size of the total moment, the calculation gives 0.0 μB per cell. The energy above the most stable polymorph in this dataset is 0.000 eV/atom. The calculation puts the density at 10.3 g cm⁻³. The calculated volume is 22.7 Å³/atom.